# 1
Below is an optimized crystal structure of TbMgAgSe2S, with properties calculated at the PBE level.

a b c (Å): 6.7743 6.7743 10.6669
angles (deg): 90.00 90.00 146.55
Sites, in units of the cell vectors:
Ag 0.0147 0.9853 0.2500
Ag 0.9853 0.0147 0.7500
Mg 0.7463 0.2537 0.2500
Mg 0.2537 0.7463 0.7500
S 0.3864 0.6136 0.2500
S 0.6136 0.3864 0.7500
Se 0.1513 0.8487 0.0717
Se 0.1513 0.8487 0.4283
Se 0.8487 0.1513 0.5717
Se 0.8487 0.1513 0.9283
Tb 0.5000 0.5000 0.0000
Tb 0.5000 0.5000 0.5000

Results
* raw total energy: -53.4 eV/cell
* spin magnetization: 0.01 μB/cell
* V: 269.8 Å³/cell

# 2
Below is an optimized crystal structure of TmMgAgSe2S, with properties calculated at the PBE level.

a b c (Å): 6.7578 6.7578 10.5498
angles (deg): 90.00 90.00 146.81
Sites, in units of the cell vectors:
Ag 0.0156 0.9844 0.2500
Ag 0.9844 0.0156 0.7500
Mg 0.7467 0.2533 0.2500
Mg 0.2533 0.7467 0.7500
S 0.3858 0.6142 0.2500
S 0.6142 0.3858 0.7500
Se 0.1495 0.8505 0.0677
Se 0.1495 0.8505 0.4323
Se 0.8505 0.1495 0.5677
Se 0.8505 0.1495 0.9323
Tm 0.5000 0.5000 0.0000
Tm 0.5000 0.5000 0.5000

Results
* raw total energy: -52.9 eV/cell
* spin magnetization: 0.01 μB/cell
* V: 263.7 Å³/cell

Which value of V does entry 2 give? 263.7 Å³/cell